DFT (PBE) results for a geometry-optimized AlCr2Br structure.

Summary:
The crystal system is monoclinic. The spin magnetization comes out at 1.8917 μB/atom. The density of states at the Fermi level is 0.665 states/eV per atom. Its symmetry is C2/m. The offset from the most stable computed form comes out at 0.230 eV per atom. Its formation energy from raw total energies is 0.42 eV per atom.

Structure (POSCAR):
```
AlCr2Br
1.0
3.349 -0.616 0.323
2.313 2.500 0.323
0.831 0.277 7.546
Cr Al Br
2 1 1
Direct
0.002 0.002 0.991
0.498 0.498 0.509
0.750 0.750 0.750
0.250 0.250 0.250
```